1.
## NaMn2S (PBE)

Data for crystalline NaMn2S at its relaxed geometry.

Cell lengths 8.201, 8.201, 8.201 Å; angles 143.81, 143.81, 52.11 degrees
Fractional coordinates of all 8 atoms:
Na1 0.375 0.625 0.750
Na2 0.625 0.375 0.250
Mn1 0.000 0.000 0.000
Mn2 0.000 0.000 0.500
Mn3 0.000 0.500 0.000
Mn4 0.500 0.000 0.500
S1 0.125 0.875 0.250
S2 0.875 0.125 0.750

Summary:
E_form (uncorrected), meV per atom: 229
Calculated density, g cm⁻³: 2.9
DFT total energy, eV/atom: -5.717
SG: I4_1/amd (141)

=====

2.
## Y12Mn3H5 (PBE)

Data for crystalline Y12Mn3H5 at its relaxed geometry.

Cell lengths 13.168, 13.168, 13.168 Å; angles 109.47, 109.47, 109.47 degrees
Fractional coordinates of all 80 atoms:
Y1 0.024 0.214 0.121
Y2 0.024 0.310 0.904
Y3 0.093 0.714 0.690
Y4 0.093 0.879 0.404
Y5 0.096 0.621 0.407
Y6 0.096 0.976 0.690
Y7 0.121 0.024 0.214
Y8 0.121 0.596 0.907
Y9 0.190 0.214 0.593
Y10 0.190 0.476 0.596
Y11 0.214 0.121 0.024
Y12 0.214 0.593 0.190
Y13 0.286 0.310 0.907
Y14 0.286 0.476 0.379
Y15 0.310 0.904 0.024
Y16 0.310 0.907 0.286
Y17 0.379 0.286 0.476
Y18 0.379 0.593 0.904
Y19 0.404 0.093 0.879
Y20 0.404 0.810 0.524
Y21 0.407 0.096 0.621
Y22 0.407 0.810 0.786
Y23 0.476 0.379 0.286
Y24 0.476 0.596 0.190
Y25 0.524 0.404 0.810
Y26 0.524 0.621 0.714
Y27 0.593 0.190 0.214
Y28 0.593 0.904 0.379
Y29 0.596 0.190 0.476
Y30 0.596 0.907 0.121
Y31 0.621 0.407 0.096
Y32 0.621 0.714 0.524
Y33 0.690 0.093 0.714
Y34 0.690 0.096 0.976
Y35 0.714 0.524 0.621
Y36 0.714 0.690 0.093
Y37 0.786 0.407 0.810
Y38 0.786 0.879 0.976
Y39 0.810 0.524 0.404
Y40 0.810 0.786 0.407
Y41 0.879 0.404 0.093
Y42 0.879 0.976 0.786
Y43 0.904 0.024 0.310
Y44 0.904 0.379 0.593
Y45 0.907 0.121 0.596
Y46 0.907 0.286 0.310
Y47 0.976 0.690 0.096
Y48 0.976 0.786 0.879
Mn1 0.125 0.250 0.375
Mn2 0.125 0.375 0.750
Mn3 0.250 0.375 0.125
Mn4 0.250 0.875 0.625
Mn5 0.375 0.125 0.250
Mn6 0.375 0.750 0.125
Mn7 0.625 0.250 0.875
Mn8 0.625 0.875 0.750
Mn9 0.750 0.125 0.375
Mn10 0.750 0.625 0.875
Mn11 0.875 0.625 0.250
Mn12 0.875 0.750 0.625
H1 0.000 0.000 0.000
H2 0.000 0.000 0.500
H3 0.000 0.500 0.000
H4 0.000 0.500 0.500
H5 0.125 0.750 0.875
H6 0.125 0.875 0.250
H7 0.250 0.125 0.875
H8 0.250 0.625 0.375
H9 0.375 0.250 0.625
H10 0.375 0.625 0.750
H11 0.500 0.000 0.000
H12 0.500 0.000 0.500
H13 0.500 0.500 0.000
H14 0.500 0.500 0.500
H15 0.625 0.375 0.250
H16 0.625 0.750 0.375
H17 0.750 0.375 0.625
H18 0.750 0.875 0.125
H19 0.875 0.125 0.750
H20 0.875 0.250 0.125

Summary:
Calculated density, g cm⁻³: 4.7
DFT total energy, eV/atom: -6.147
SG: Ia-3d (230)

=====

3.
## Sm4YZn (PBE)

Data for crystalline Sm4YZn at its relaxed geometry.

Cell lengths 3.624, 3.624, 13.890 Å; angles 90.00, 90.00, 90.00 degrees
Fractional coordinates of all 6 atoms:
Sm1 0.000 0.000 0.131
Sm2 0.000 0.000 0.869
Sm3 0.500 0.500 0.317
Sm4 0.500 0.500 0.683
Y1 0.000 0.000 0.500
Zn1 0.500 0.500 0.000

Summary:
Calculated density, g cm⁻³: 6.9
DFT total energy, eV/atom: -4.532
ΔE_f, eV/atom: -0.096
SG: P4/mmm (123)

=====

4.
## AgGePdF6 (PBE)

Data for crystalline AgGePdF6 at its relaxed geometry.

Cell lengths 5.895, 5.895, 8.934 Å; angles 90.00, 90.00, 120.00 degrees
Fractional coordinates of all 18 atoms:
Ag1 0.333 0.667 0.250
Ag2 0.667 0.333 0.750
Ge1 0.333 0.667 0.750
Ge2 0.667 0.333 0.250
Pd1 0.000 0.000 0.000
Pd2 0.000 0.000 0.500
F1 0.080 0.406 0.632
F2 0.080 0.675 0.868
F3 0.325 0.406 0.868
F4 0.325 0.920 0.632
F5 0.406 0.080 0.132
F6 0.406 0.325 0.368
F7 0.594 0.675 0.632
F8 0.594 0.920 0.868
F9 0.675 0.080 0.368
F10 0.675 0.594 0.132
F11 0.920 0.325 0.132
F12 0.920 0.594 0.368

Summary:
E_form (uncorrected), meV per atom: -1645
Calculated density, g cm⁻³: 5.0
DFT total energy, eV/atom: -4.299
SG: P-31c (163)